# 1
# MgInMo2Rh, relaxed, DFT PBE
data_MgInMo2Rh
_chemical_formula_sum 'Mg1 In1 Mo2 Rh1'
_cell_length_a 4.571
_cell_length_b 4.571
_cell_length_c 4.767
_cell_angle_alpha 90.00
_cell_angle_beta 90.00
_cell_angle_gamma 90.00
_space_group_name_H-M_alt 'P 4/m m m'
_space_group_IT_number 123
_space_group_name_Hall '-P 4 2'
loop_
_atom_site_label
_atom_site_fract_x
_atom_site_fract_y
_atom_site_fract_z
Mg1 0.000 0.000 0.000
In1 0.000 0.000 0.500
Mo1 0.000 0.500 0.000
Rh1 0.500 0.500 0.500
# - calculated total energy (eV/atom) = -4.733


# 2
# AlCrPb, relaxed, DFT PBE
data_AlCrPb
_chemical_formula_sum 'Al4 Cr4 Pb4'
_cell_length_a 6.432
_cell_length_b 6.432
_cell_length_c 6.432
_cell_angle_alpha 90.00
_cell_angle_beta 90.00
_cell_angle_gamma 90.00
_space_group_name_H-M_alt 'F -4 3 m'
_space_group_IT_number 216
_space_group_name_Hall 'F -4 2 3'
loop_
_atom_site_label
_atom_site_fract_x
_atom_site_fract_y
_atom_site_fract_z
Al1 0.000 0.000 0.000
Cr1 0.250 0.250 0.750
Pb1 0.000 0.000 0.500
# - polymorph energy (0 for the lowest one) (meV/atom) = 52.9
# - calculated total energy (eV/atom) = -5.268


# 3
# Ce2In9Sn, relaxed, DFT PBE
data_Ce2In9Sn
_chemical_formula_sum 'Ce2 In9 Sn1'
_cell_length_a 4.707
_cell_length_b 4.707
_cell_length_c 14.361
_cell_angle_alpha 90.00
_cell_angle_beta 90.00
_cell_angle_gamma 90.00
_space_group_name_H-M_alt 'P 4/m m m'
_space_group_IT_number 123
_space_group_name_Hall '-P 4 2'
loop_
_atom_site_label
_atom_site_fract_x
_atom_site_fract_y
_atom_site_fract_z
Ce1 0.000 0.000 0.164
In1 0.000 0.500 0.000
In2 0.000 0.500 0.331
In3 0.500 0.500 0.161
In4 0.500 0.500 0.500
Sn1 0.000 0.000 0.500
# - calculated total energy (eV/atom) = -3.608


# 4
# Dy2Pd13, relaxed, DFT PBE
data_Dy2Pd13
_chemical_formula_sum 'Dy6 Pd39'
_cell_length_a 7.3580
_cell_length_b 7.3580
_cell_length_c 20.0930
_cell_angle_alpha 90.00
_cell_angle_beta 90.00
_cell_angle_gamma 120.00
_space_group_name_H-M_alt 'R -3 m'
_space_group_IT_number 166
_space_group_name_Hall '-R 3 2"'
loop_
_atom_site_label
_atom_site_fract_x
_atom_site_fract_y
_atom_site_fract_z
Dy1 0.0000 0.0000 0.2417
Pd1 0.0000 0.0000 0.0000
Pd2 0.0844 0.5422 0.5599
Pd3 0.0861 0.5430 0.3033
# - calculated total energy (eV/atom) = -5.131


# 5
# Np2TlRu, relaxed, DFT PBE
data_Np2TlRu
_chemical_formula_sum 'Np2 Tl1 Ru1'
_cell_length_a 3.711
_cell_length_b 3.711
_cell_length_c 6.526
_cell_angle_alpha 90.00
_cell_angle_beta 90.00
_cell_angle_gamma 90.00
_space_group_name_H-M_alt 'P 4/m m m'
_space_group_IT_number 123
_space_group_name_Hall '-P 4 2'
loop_
_atom_site_label
_atom_site_fract_x
_atom_site_fract_y
_atom_site_fract_z
Np1 0.000 0.000 0.204
Tl1 0.500 0.500 0.500
Ru1 0.500 0.500 0.000
# - calculated total energy (eV/atom) = -9.098


# 6
# TaBe3Tc, relaxed, DFT PBE
data_TaBe3Tc
_chemical_formula_sum 'Ta1 Be3 Tc1'
_cell_length_a 4.273
_cell_length_b 4.273
_cell_length_c 4.273
_cell_angle_alpha 90.00
_cell_angle_beta 90.00
_cell_angle_gamma 90.00
_space_group_name_H-M_alt 'P m -3 m'
_space_group_IT_number 221
_space_group_name_Hall '-P 4 2 3'
loop_
_atom_site_label
_atom_site_fract_x
_atom_site_fract_y
_atom_site_fract_z
Ta1 0.000 0.000 0.000
Be1 0.000 0.000 0.500
Tc1 0.500 0.500 0.500
# - polymorph energy (0 for the lowest one) (meV/atom) = 1090.8
# - calculated total energy (eV/atom) = -4.882